VASP calculation (PBE-GGA) on a relaxed MgZrScFe crystal.

a b c (Å): 6.633 6.633 6.633
angles (deg): 90.00 90.00 90.00
Sites, in units of the cell vectors:
1 Mg 0.000 0.000 0.000
2 Mg 0.000 0.500 0.500
3 Mg 0.500 0.000 0.500
4 Mg 0.500 0.500 0.000
5 Zr 0.250 0.250 0.250
6 Zr 0.250 0.750 0.750
7 Zr 0.750 0.250 0.750
8 Zr 0.750 0.750 0.250
9 Sc 0.250 0.250 0.750
10 Sc 0.250 0.750 0.250
11 Sc 0.750 0.250 0.250
12 Sc 0.750 0.750 0.750
13 Fe 0.000 0.000 0.500
14 Fe 0.000 0.500 0.000
15 Fe 0.500 0.000 0.000
16 Fe 0.500 0.500 0.500

As for the crystal system: cubic. The space group is F-43m. The formation enthalpy at 0 K is 37.4 meV per atom.


VASP calculation (PBE-GGA) on a relaxed MgFe2Se crystal.

a b c (Å): 3.113 4.169 4.897
angles (deg): 90.00 93.45 90.00
Sites, in units of the cell vectors:
1 Mg 0.000 0.000 0.000
2 Fe 0.419 0.500 0.756
3 Fe 0.581 0.500 0.244
4 Se 0.500 0.000 0.500

As for the crystal system: monoclinic. The space group is P2/m. As for the formation energy without anion corrections: 166 meV per atom.


VASP calculation (PBE-GGA) on a relaxed MgFe2Se crystal.

a b c (Å): 3.356 4.128 8.762
angles (deg): 90.00 90.00 90.00
Sites, in units of the cell vectors:
1 Mg 0.000 0.000 0.000
2 Mg 0.500 0.500 0.500
3 Fe 0.000 0.500 0.239
4 Fe 0.000 0.500 0.761
5 Fe 0.500 0.000 0.261
6 Fe 0.500 0.000 0.739
7 Se 0.000 0.000 0.500
8 Se 0.500 0.500 0.000

As for the crystal system: orthorhombic. The space group is Immm. As for the formation energy without anion corrections: 142 meV per atom.


VASP calculation (PBE-GGA) on a relaxed MgFe2Se crystal.

a b c (Å): 3.244 4.295 8.443
angles (deg): 90.00 90.00 90.00
Sites, in units of the cell vectors:
1 Mg 0.000 0.000 0.000
2 Mg 0.500 0.500 0.500
3 Fe 0.000 0.000 0.497
4 Fe 0.000 0.500 0.222
5 Fe 0.500 0.000 0.722
6 Fe 0.500 0.500 0.997
7 Se 0.000 0.500 0.777
8 Se 0.500 0.000 0.277

As for the crystal system: orthorhombic. The space group is Imm2. As for the formation energy without anion corrections: 137 meV per atom.


VASP calculation (PBE-GGA) on a relaxed MgFeSe crystal.

a b c (Å): 4.010 4.010 3.713
angles (deg): 90.00 90.00 120.00
Sites, in units of the cell vectors:
1 Mg 0.000 0.000 0.000
2 Fe 0.333 0.667 0.500
3 Se 0.667 0.333 0.500

As for the crystal system: hexagonal. The space group is P-6m2. As for the formation energy without anion corrections: -152 meV per atom.


VASP calculation (PBE-GGA) on a relaxed MgFeSe crystal.

a b c (Å): 3.249 3.249 5.718
angles (deg): 90.00 90.00 120.00
Sites, in units of the cell vectors:
1 Mg 0.000 0.000 0.000
2 Fe 0.333 0.667 0.652
3 Se 0.667 0.333 0.424

As for the crystal system: trigonal. The space group is P3m1. As for the formation energy without anion corrections: -41 meV per atom.


no.,ρ (Mg/m³)
1,4.92
2,5.63
3,5.88
4,6.07
5,5.11
6,5.05